(1)
VASP calculation (GGA-PBE) on a relaxed SrLi2Cd2 crystal.

The value obtained for the density of states at the Fermi level is 3.593 states/eV/f.u. As for the total energy: -8.37 eV/f.u. The energy above the most stable polymorph in this dataset comes out at 0 meV/atom.

The space group is I4/mmm (No. 139) and the conventional cell measures 4.4183, 4.4183 and 13.5950 Å, with angles of 90.00, 90.00 and 90.00 degrees. The distinct sites, in fractional coordinates, are Sr at (0.0000, 0.0000, 0.0000), Li at (0.0000, 0.5000, 0.2500) and Cd at (0.0000, 0.0000, 0.3880).



(2)
VASP calculation (GGA-PBE) on a relaxed ZnInTc2 crystal.

The value obtained for the density of states at the Fermi level is 5.516 states/eV/f.u. As for the total energy: -23.00 eV/f.u. The energy above the most stable polymorph in this dataset comes out at 371 meV/atom.

The space group is P4/mmm (No. 123) and the conventional cell measures 4.4361, 4.4361 and 3.2363 Å, with angles of 90.00, 90.00 and 90.00 degrees. The distinct sites, in fractional coordinates, are Zn at (0.0000, 0.0000, 0.0000), In at (0.5000, 0.5000, 0.0000) and Tc at (0.0000, 0.5000, 0.5000).



(3)
VASP calculation (GGA-PBE) on a relaxed NiTe2Ir crystal.

The value obtained for the density of states at the Fermi level is 2.268 states/eV/f.u. As for the total energy: -19.50 eV/f.u. The energy above the most stable polymorph in this dataset comes out at 435 meV/atom. The calculation puts the uncorrected formation energy at 0.357 eV/atom.

The space group is Cmmm (No. 65) and the conventional cell measures 6.7358, 6.7952 and 3.2438 Å, with angles of 90.00, 90.00 and 90.00 degrees. The distinct sites, in fractional coordinates, are Ni at (0.0000, 0.0000, 0.0000), Te at (0.2500, 0.2500, 0.5000) and Ir at (0.0000, 0.5000, 0.0000).



(4)
VASP calculation (GGA-PBE) on a relaxed ZrScSe3 crystal.

The value obtained for the density of states at the Fermi level is 5.424 states/eV/f.u. As for the total energy: -27.84 eV/f.u. The energy above the most stable polymorph in this dataset comes out at 993 meV/atom. The calculation puts the uncorrected formation energy at -0.501 eV/atom.

The space group is Pm-3m (No. 221) and the conventional cell measures 5.0463, 5.0463 and 5.0463 Å, with angles of 90.00, 90.00 and 90.00 degrees. The distinct sites, in fractional coordinates, are Zr at (0.0000, 0.0000, 0.0000), Sc at (0.5000, 0.5000, 0.5000) and Se at (0.0000, 0.5000, 0.5000).